Record 1
Computed, not measured: an optimized crystal structure of Sr6GaSi2 at the PBE-GGA level of DFT.

a b c (Å): 9.452 9.452 9.452
angles (deg): 106.48 109.59 112.40
Each line ends with the local moment (μB).
Element x y z (fractional)
Sr (0.553, 0.728, 0.826)  0.03
Sr (0.447, 0.272, 0.174)  0.03
Sr (0.098, 0.272, 0.826)  0.03
Sr (0.902, 0.728, 0.174)  0.03
Sr (0.812, 0.752, 0.565)  0.04
Sr (0.188, 0.248, 0.435)  0.04
Sr (0.188, 0.752, 0.940)  0.04
Sr (0.812, 0.248, 0.060)  0.04
Sr (0.678, 0.342, 0.664)  0.03
Sr (0.322, 0.658, 0.336)  0.03
Sr (0.322, 0.986, 0.664)  0.03
Sr (0.678, 0.014, 0.336)  0.03
Ga (0.000, 0.500, 0.500)  0.08
Ga (0.000, 0.000, 0.000)  0.02
Si (0.500, 0.393, 0.893)  -0.01
Si (0.500, 0.607, 0.107)  -0.01
Si (0.677, 0.000, 0.677)  0.00
Si (0.323, 0.000, 0.323)  0.00

- SG: Immm (71)
- Magnetic moment: 2.23 Bohr magnetons per cell
- Calculated volume: 36.01 Å³ per atom
- D(E_F): 0.804 states/eV per atom

Record 2
Computed, not measured: an optimized crystal structure of BiHPdAu2 at the PBE-GGA level of DFT.

a b c (Å): 4.325 4.325 4.419
angles (deg): 90.00 90.00 90.00
Element x y z (fractional)
H (0.000, 0.000, 0.000)
Au (0.000, 0.500, 0.000)
Au (0.500, 0.000, 0.000)
Bi (0.500, 0.500, 0.500)
Pd (0.000, 0.000, 0.500)

- SG: P4/mmm (123)
- Magnetic moment: 0.00 Bohr magnetons per cell
- Calculated volume: 16.54 Å³ per atom
- D(E_F): 0.293 states/eV per atom

Record 3
Computed, not measured: an optimized crystal structure of MnSbAu3 at the PBE-GGA level of DFT.

a b c (Å): 5.220 5.220 5.220
angles (deg): 90.00 90.00 90.00
Each line ends with the local moment (μB).
Element x y z (fractional)
Sb (0.000, 0.000, 0.000)  0.01
Mn (0.500, 0.500, 0.500)  4.59
Au (0.000, 0.500, 0.000)  0.02
Au (0.000, 0.000, 0.500)  0.01
Au (0.500, 0.000, 0.000)  0.06

- Distance to the lowest polymorph of the same formula: 87 meV per atom
- SG: Pm-3m (221)
- Magnetic moment: 5.23 Bohr magnetons per cell
- Calculated volume: 28.45 Å³ per atom
- D(E_F): 0.475 states/eV per atom

Record 4
Computed, not measured: an optimized crystal structure of YMnFe2 at the PBE-GGA level of DFT.

a b c (Å): 3.245 3.245 6.111
angles (deg): 90.00 90.00 90.00
Each line ends with the local moment (μB).
Element x y z (fractional)
Fe (0.000, 0.000, 0.066)  2.05
Fe (0.000, 0.000, 0.434)  2.05
Mn (0.500, 0.500, 0.250)  2.83
Y (0.500, 0.500, 0.750)  -0.17

- Distance to the lowest polymorph of the same formula: 123 meV per atom
- SG: P4/mmm (123)
- Magnetic moment: 6.78 Bohr magnetons per cell
- Formation energy: 23.7 kJ/mol of atoms
- Calculated volume: 16.09 Å³ per atom
- D(E_F): 0.879 states/eV per atom

Record 5
Computed, not measured: an optimized crystal structure of Y3Sc2In3 at the PBE-GGA level of DFT.

a b c (Å): 3.694 5.258 11.287
angles (deg): 103.47 99.42 90.00
Element x y z (fractional)
Y (0.374, 0.374, 0.747)
Y (0.626, 0.626, 0.253)
Y (0.500, 0.000, 0.000)
Sc (0.261, 0.761, 0.522)
Sc (0.739, 0.239, 0.478)
In (0.872, 0.872, 0.743)
In (0.000, 0.500, 0.000)
In (0.128, 0.128, 0.257)

- SG: Immm (71)
- Magnetic moment: 0.00 Bohr magnetons per cell
- Formation energy: -37.1 kJ/mol of atoms
- Calculated volume: 26.27 Å³ per atom
- D(E_F): 0.987 states/eV per atom

Record 6
Computed, not measured: an optimized crystal structure of ReSe3 at the PBE-GGA level of DFT.

a b c (Å): 4.156 4.156 4.156
angles (deg): 90.00 90.00 90.00
Element x y z (fractional)
Re (0.000, 0.000, 0.000)
Se (0.000, 0.500, 0.500)
Se (0.500, 0.000, 0.500)
Se (0.500, 0.500, 0.000)

- Distance to the lowest polymorph of the same formula: 1213 meV per atom
- SG: Pm-3m (221)
- Magnetic moment: 0.00 Bohr magnetons per cell
- Calculated volume: 17.95 Å³ per atom
- D(E_F): 1.058 states/eV per atom

Record 7
Computed, not measured: an optimized crystal structure of NaGeRh at the PBE-GGA level of DFT.

a b c (Å): 4.094 5.691 5.691
angles (deg): 90.04 68.78 68.78
Element x y z (fractional)
Na (0.254, 0.245, 0.245)
Na (0.414, 0.586, 0.586)
Ge (0.685, 0.617, 0.013)
Ge (0.685, 0.013, 0.617)
Rh (0.001, 0.827, 0.169)
Rh (0.001, 0.169, 0.827)

- SG: Cm (8)
- Magnetic moment: 0.00 Bohr magnetons per cell
- Formation energy: -21.6 kJ/mol of atoms
- Calculated volume: 18.98 Å³ per atom
- D(E_F): 0.478 states/eV per atom

Record 8
Computed, not measured: an optimized crystal structure of MoW2Se at the PBE-GGA level of DFT.

a b c (Å): 3.760 3.760 10.103
angles (deg): 79.28 79.28 90.00
Element x y z (fractional)
Mo (0.000, 0.000, 0.000)
Mo (0.750, 0.250, 0.500)
Se (0.500, 0.500, 0.000)
Se (0.250, 0.750, 0.500)
W (0.620, 0.125, 0.250)
W (0.130, 0.625, 0.250)
W (0.375, 0.380, 0.750)
W (0.875, 0.870, 0.750)

- SG: I-42d (122)
- Magnetic moment: 0.00 Bohr magnetons per cell
- Calculated volume: 17.23 Å³ per atom
- D(E_F): 0.899 states/eV per atom

Record 9
Computed, not measured: an optimized crystal structure of Nd5P4Cl at the PBE-GGA level of DFT.

a b c (Å): 4.158 7.217 9.327
angles (deg): 75.41 77.12 73.26
Element x y z (fractional)
Nd (0.207, 0.901, 0.686)
Nd (0.793, 0.099, 0.314)
Nd (0.392, 0.328, 0.888)
Nd (0.000, 0.500, 0.500)
Nd (0.608, 0.672, 0.112)
P (0.597, 0.200, 0.605)
P (0.205, 0.392, 0.198)
P (0.795, 0.608, 0.802)
P (0.403, 0.800, 0.395)
Cl (0.000, 0.000, 0.000)

- SG: C2/m (12)
- Magnetic moment: 0.00 Bohr magnetons per cell
- Calculated volume: 25.60 Å³ per atom
- D(E_F): 0.337 states/eV per atom

Record 10
Computed, not measured: an optimized crystal structure of Tm4Ag at the PBE-GGA level of DFT.

a b c (Å): 6.601 6.601 8.259
angles (deg): 99.78 99.78 125.09
Element x y z (fractional)
Tm (0.667, 0.552, 0.796)
Tm (0.755, 0.870, 0.204)
Tm (0.729, 0.118, 0.892)
Tm (0.226, 0.837, 0.108)
Tm (0.368, 0.479, 0.392)
Tm (0.087, 0.976, 0.608)
Tm (0.120, 0.505, 0.704)
Tm (0.802, 0.417, 0.296)
Ag (0.275, 0.275, 0.000)
Ag (0.525, 0.025, 0.500)

- Distance to the lowest polymorph of the same formula: 0 meV per atom
- SG: Fdd2 (43)
- Magnetic moment: 0.00 Bohr magnetons per cell
- Formation energy: 0.0 kJ/mol of atoms
- Calculated volume: 27.37 Å³ per atom
- D(E_F): 1.296 states/eV per atom

Record 11
Computed, not measured: an optimized crystal structure of NbCo2HRu at the PBE-GGA level of DFT.

a b c (Å): 3.747 3.747 3.852
angles (deg): 90.00 90.00 90.00
Element x y z (fractional)
Ru (0.000, 0.000, 0.500)
Nb (0.500, 0.500, 0.500)
Co (0.000, 0.500, 0.000)
Co (0.500, 0.000, 0.000)
H (0.000, 0.000, 0.000)

- Distance to the lowest polymorph of the same formula: 0 meV per atom
- SG: P4/mmm (123)
- Magnetic moment: 0.00 Bohr magnetons per cell
- Calculated volume: 10.82 Å³ per atom
- D(E_F): 0.630 states/eV per atom

Record 12
Computed, not measured: an optimized crystal structure of ScCrSi at the PBE-GGA level of DFT.

a b c (Å): 4.459 4.459 4.459
angles (deg): 60.00 60.00 60.00
Each line ends with the local moment (μB).
Element x y z (fractional)
Cr (0.500, 0.500, 0.500)  3.77
Sc (0.750, 0.750, 0.750)  0.31
Si (0.000, 0.000, 0.000)  -0.08

- SG: F-43m (216)
- Magnetic moment: 4.54 Bohr magnetons per cell
- Calculated volume: 20.90 Å³ per atom
- D(E_F): 0.789 states/eV per atom

Record 13
Computed, not measured: an optimized crystal structure of Mn2Al13 at the PBE-GGA level of DFT.

a b c (Å): 4.929 7.306 6.939
angles (deg): 105.39 77.19 91.28
Element x y z (fractional)
Mn (0.814, 0.943, 0.692)
Mn (0.186, 0.057, 0.308)
Al (0.720, 0.547, 0.093)
Al (0.280, 0.453, 0.907)
Al (0.000, 0.000, 0.000)
Al (0.311, 0.049, 0.662)
Al (0.689, 0.951, 0.338)
Al (0.022, 0.646, 0.724)
Al (0.978, 0.354, 0.276)
Al (0.601, 0.663, 0.530)
Al (0.399, 0.337, 0.470)
Al (0.479, 0.815, 0.974)
Al (0.521, 0.185, 0.026)
Al (0.846, 0.271, 0.655)
Al (0.154, 0.729, 0.345)

- SG: P-1 (2)
- Magnetic moment: 0.00 Bohr magnetons per cell
- Formation energy: -11.3 kJ/mol of atoms
- Calculated volume: 15.65 Å³ per atom
- D(E_F): 0.374 states/eV per atom

Record 14
Computed, not measured: an optimized crystal structure of Y3Zn2Rh3 at the PBE-GGA level of DFT.

a b c (Å): 5.593 8.110 8.110
angles (deg): 120.00 90.00 90.00
Element x y z (fractional)
Y (0.750, 0.274, 0.000)
Y (0.750, 0.726, 0.726)
Y (0.750, 0.000, 0.274)
Y (0.250, 0.726, 0.000)
Y (0.250, 0.274, 0.274)
Y (0.250, 0.000, 0.726)
Zn (0.000, 0.333, 0.667)
Zn (0.500, 0.667, 0.333)
Zn (0.000, 0.667, 0.333)
Zn (0.500, 0.333, 0.667)
Rh (0.750, 0.607, 0.000)
Rh (0.750, 0.393, 0.393)
Rh (0.750, 0.000, 0.607)
Rh (0.250, 0.393, 0.000)
Rh (0.250, 0.607, 0.607)
Rh (0.250, 0.000, 0.393)

- SG: P6_3/mcm (193)
- Magnetic moment: 0.00 Bohr magnetons per cell
- Formation energy: -59.7 kJ/mol of atoms
- Calculated volume: 19.91 Å³ per atom
- D(E_F): 0.559 states/eV per atom

Record 15
Computed, not measured: an optimized crystal structure of RbCu4Ag3Cl12 at the PBE-GGA level of DFT.

a b c (Å): 8.589 8.589 8.589
angles (deg): 104.95 104.95 104.95
Element x y z (fractional)
Rb (0.000, 0.000, 0.000)
Cu (0.923, 0.077, 0.500)
Cu (0.077, 0.500, 0.923)
Cu (0.500, 0.923, 0.077)
Cu (0.500, 0.500, 0.500)
Ag (0.569, 0.431, 0.000)
Ag (0.431, 0.000, 0.569)
Ag (0.000, 0.569, 0.431)
Cl (0.500, 0.339, 0.661)
Cl (0.914, 0.500, 0.086)
Cl (0.086, 0.914, 0.500)
Cl (0.500, 0.086, 0.914)
Cl (0.366, 0.995, 0.249)
Cl (0.249, 0.366, 0.995)
Cl (0.995, 0.249, 0.366)
Cl (0.634, 0.751, 0.005)
Cl (0.005, 0.634, 0.751)
Cl (0.751, 0.005, 0.634)
Cl (0.661, 0.500, 0.339)
Cl (0.339, 0.661, 0.500)

- SG: R32 (155)
- Magnetic moment: 0.01 Bohr magnetons per cell
- Calculated volume: 27.72 Å³ per atom
- D(E_F): 0.762 states/eV per atom

Record 16
Computed, not measured: an optimized crystal structure of LiSc2Re at the PBE-GGA level of DFT.

a b c (Å): 2.840 4.576 5.713
angles (deg): 90.00 90.00 90.00
Element x y z (fractional)
Li (0.000, 0.000, 0.500)
Re (0.500, 0.500, 0.777)
Sc (0.000, 0.000, 0.955)
Sc (0.500, 0.500, 0.268)

- SG: Pmm2 (25)
- Magnetic moment: 0.00 Bohr magnetons per cell
- Formation energy: 21.4 kJ/mol of atoms
- Calculated volume: 18.56 Å³ per atom
- D(E_F): 0.959 states/eV per atom

Record 17
Computed, not measured: an optimized crystal structure of RbSrCa4 at the PBE-GGA level of DFT.

a b c (Å): 7.571 7.571 7.571
angles (deg): 60.00 60.00 60.00
Element x y z (fractional)
Sr (0.000, 0.000, 0.000)
Ca (0.626, 0.626, 0.123)
Ca (0.626, 0.123, 0.626)
Ca (0.626, 0.626, 0.626)
Ca (0.123, 0.626, 0.626)
Rb (0.250, 0.250, 0.250)

- SG: F-43m (216)
- Magnetic moment: 0.00 Bohr magnetons per cell
- Formation energy: 12.4 kJ/mol of atoms
- Calculated volume: 51.15 Å³ per atom
- D(E_F): 1.144 states/eV per atom

Record 18
Computed, not measured: an optimized crystal structure of K2ScBiTe4 at the PBE-GGA level of DFT.

a b c (Å): 4.436 7.796 8.601
angles (deg): 107.02 90.00 90.00
Element x y z (fractional)
K (0.500, 0.000, 0.500)
K (0.000, 0.500, 0.500)
Sc (0.500, 0.500, 0.000)
Bi (0.000, 0.000, 0.000)
Te (0.500, 0.252, 0.206)
Te (0.500, 0.748, 0.794)
Te (0.000, 0.281, 0.801)
Te (0.000, 0.719, 0.199)

- SG: P2/m (10)
- Magnetic moment: 0.00 Bohr magnetons per cell
- Calculated volume: 35.55 Å³ per atom
- D(E_F): 0.000 states/eV per atom

Record 19
Computed, not measured: an optimized crystal structure of AgBPt2 at the PBE-GGA level of DFT.

a b c (Å): 2.895 7.112 5.633
angles (deg): 90.00 90.00 101.74
Element x y z (fractional)
Ag (0.997, 0.993, 0.250)
Ag (0.003, 0.007, 0.750)
B (0.219, 0.437, 0.250)
B (0.781, 0.563, 0.750)
Pt (0.343, 0.685, 0.499)
Pt (0.657, 0.315, 0.501)
Pt (0.657, 0.315, 0.999)
Pt (0.343, 0.685, 0.001)

- SG: Cmcm (63)
- Magnetic moment: 0.00 Bohr magnetons per cell
- Formation energy: -17.9 kJ/mol of atoms
- Calculated volume: 14.20 Å³ per atom
- D(E_F): 0.220 states/eV per atom

Record 20
Computed, not measured: an optimized crystal structure of TmMgZr at the PBE-GGA level of DFT.

a b c (Å): 3.348 3.348 7.152
angles (deg): 103.54 103.54 90.00
Element x y z (fractional)
Mg (0.660, 0.660, 0.320)
Tm (0.339, 0.339, 0.678)
Zr (0.001, 0.001, 0.003)

- Distance to the lowest polymorph of the same formula: 0 meV per atom
- SG: I4mm (107)
- Magnetic moment: 0.00 Bohr magnetons per cell
- Formation energy: -1.5 kJ/mol of atoms
- Calculated volume: 25.21 Å³ per atom
- D(E_F): 0.627 states/eV per atom

Record 21
Computed, not measured: an optimized crystal structure of TlCo2RuN at the PBE-GGA level of DFT.

a b c (Å): 3.940 3.940 4.061
angles (deg): 90.00 90.00 90.00
Each line ends with the local moment (μB).
Element x y z (fractional)
Ru (0.000, 0.000, 0.500)  0.02
Tl (0.500, 0.500, 0.500)  -0.03
Co (0.000, 0.500, 0.000)  0.88
Co (0.500, 0.000, 0.000)  0.88
N (0.000, 0.000, 0.000)  0.02

- SG: P4/mmm (123)
- Magnetic moment: 1.71 Bohr magnetons per cell
- Calculated volume: 12.61 Å³ per atom
- D(E_F): 0.775 states/eV per atom

Record 22
Computed, not measured: an optimized crystal structure of BeSiBRu2 at the PBE-GGA level of DFT.

a b c (Å): 4.080 3.718 4.080
angles (deg): 90.00 90.00 90.00
Element x y z (fractional)
Ru (0.000, 0.000, 0.500)
Ru (0.500, 0.000, 0.000)
Si (0.000, 0.500, 0.000)
B (0.500, 0.500, 0.500)
Be (0.000, 0.000, 0.000)

- SG: P4/mmm (123)
- Magnetic moment: 0.00 Bohr magnetons per cell
- Calculated volume: 12.38 Å³ per atom
- D(E_F): 0.463 states/eV per atom

Record 23
Computed, not measured: an optimized crystal structure of Li2SbC at the PBE-GGA level of DFT.

a b c (Å): 4.350 4.350 4.350
angles (deg): 60.00 60.00 60.00
Element x y z (fractional)
Sb (0.500, 0.500, 0.500)
C (0.000, 0.000, 0.000)
Li (0.250, 0.250, 0.250)
Li (0.750, 0.750, 0.750)

- Distance to the lowest polymorph of the same formula: 133 meV per atom
- SG: Fm-3m (225)
- Magnetic moment: 0.00 Bohr magnetons per cell
- Calculated volume: 14.55 Å³ per atom
- D(E_F): 0.505 states/eV per atom

Record 24
Computed, not measured: an optimized crystal structure of LiCd2Ag at the PBE-GGA level of DFT.

a b c (Å): 4.753 4.753 4.753
angles (deg): 60.00 60.00 60.00
Element x y z (fractional)
Li (0.750, 0.750, 0.750)
Ag (0.500, 0.500, 0.500)
Cd (0.000, 0.000, 0.000)
Cd (0.250, 0.250, 0.250)

- Distance to the lowest polymorph of the same formula: 30 meV per atom
- SG: F-43m (216)
- Magnetic moment: 0.00 Bohr magnetons per cell
- Formation energy: -16.5 kJ/mol of atoms
- Calculated volume: 18.98 Å³ per atom
- D(E_F): 0.478 states/eV per atom

Record 25
Computed, not measured: an optimized crystal structure of LiLa2 at the PBE-GGA level of DFT.

a b c (Å): 5.443 5.443 3.577
angles (deg): 90.00 90.00 120.00
Element x y z (fractional)
La (0.667, 0.333, 0.299)
La (0.333, 0.667, 0.701)
Li (0.000, 0.000, 0.000)

- Distance to the lowest polymorph of the same formula: 58 meV per atom
- SG: P-3m1 (164)
- Magnetic moment: 0.00 Bohr magnetons per cell
- Formation energy: 11.2 kJ/mol of atoms
- Calculated volume: 30.60 Å³ per atom
- D(E_F): 1.353 states/eV per atom

Looking at DFT total energy for the records above, in order, we have -53.0; -18.4; -19.5; -31.6; -43.3; -18.2; -27.9; -73.4; -63.5; -41.5; -37.7; -19.9; -68.8; -97.9; -59.9; -26.1; -9.9; -32.4; -44.7; -14.7; -32.9; -29.5; -14.0; -7.3; -11.4 eV for the cell shown.